A geometry-optimized Na2NpCrF8 structure. Source: the Alexandria database, functional PBE+U.

abc: 3.8883 5.4596 8.0151
angles: 93.14 89.95 88.26
With the nearest neighbours (Å) after each atom.
Sites, in units of the cell vectors:
1 F 0.9810 0.6861 0.3219  1 Np 2.17, 2 Na 2.39-2.41
2 F 0.9752 0.8407 0.7656  1 Cr 2.03
3 F 0.0190 0.3139 0.6781  1 Np 2.17, 2 Na 2.39-2.41
4 F 0.5920 0.2308 0.9705  1 Cr 2.02
5 F 0.4949 0.7833 0.5470  2 Np 2.27-2.36, 1 Na 2.39, 1 F 2.52
6 F 0.5051 0.2167 0.4530  2 Np 2.27-2.36, 1 Na 2.39, 1 F 2.52
7 F 0.4080 0.7692 0.0295  1 Cr 2.02
8 F 0.0248 0.1593 0.2344  1 Cr 2.03
9 Cr 0.0000 0.0000 0.0000  4 F 2.02-2.03
10 Na 0.5073 0.5311 0.7811  6 F 2.31-2.53
11 Na 0.4927 0.4689 0.2189  6 F 2.31-2.53
12 Np 0.0000 0.0000 0.5000  8 F 2.17-2.36

Computed properties:
- Crystal system: triclinic
- E_tot: -6.030 eV/atom
- Magnetization: 3.13 Bohr magnetons per cell